## CsKNiS2 (PBE-GGA)

Data for CsKNiS2 after structural relaxation.

Its raw formation energy is -741.7 meV/atom.

It has space group Pmma (No. 51), with a = 5.587 Å, b = 7.631 Å, c = 6.474 Å, α = 90.00°, β = 90.00° and γ = 90.00°. Symmetry generates all atoms from Cs at (0.250, 0.000, 0.233), K at (0.250, 0.500, 0.405), Ni at (0.000, 0.500, 0.000) and S at (0.250, 0.305, 0.849).



## CsKNi2Sb (PBE-GGA)

Data for CsKNi2Sb after structural relaxation.

Its raw formation energy is 1486.9 meV/atom.

It has space group P4/mmm (No. 123), with a = 5.356 Å, b = 5.356 Å, c = 5.952 Å, α = 90.00°, β = 90.00° and γ = 90.00°. Symmetry generates all atoms from Cs at (0.000, 0.000, 0.000), K at (0.000, 0.000, 0.500), Ni at (0.000, 0.500, 0.500) and Sb at (0.500, 0.500, 0.000).



## CsKTlNi2 (PBE-GGA)

Data for CsKTlNi2 after structural relaxation.

Its energy of formation from the pure elements is 0.6923 eV per atom.

It has space group P4/mmm (No. 123), with a = 5.155 Å, b = 5.155 Å, c = 6.099 Å, α = 90.00°, β = 90.00° and γ = 90.00°. Symmetry generates all atoms from Cs at (0.000, 0.000, 0.000), K at (0.500, 0.500, 0.000), Tl at (0.500, 0.500, 0.500) and Ni at (0.000, 0.500, 0.500).



Q: Which formula does entry 2 have?
A: CsKNi2Sb